(1)
# Hf2Tl2V

A geometry-optimized Hf2Tl2V structure (PBE, Alexandria via LeMat-Bulk).

a b c (Å): 7.3345 7.3345 4.0678
angles (deg): 90.00 90.00 90.00
Element x y z (fractional)
Hf (0.1678, 0.3322, 0.0000)
Hf (0.3322, 0.8322, 0.0000)
Hf (0.6678, 0.1678, 0.0000)
Hf (0.8322, 0.6678, 0.0000)
Tl (0.1395, 0.6395, 0.5000)
Tl (0.3605, 0.1395, 0.5000)
Tl (0.6395, 0.8605, 0.5000)
Tl (0.8605, 0.3605, 0.5000)
V (0.0000, 0.0000, 0.5000)
V (0.5000, 0.5000, 0.5000)

Computed properties:
- V: 218.83 Å³/cell
- Formation energy from the elements: 0.363 eV/atom
- Total moment: 0.49 μB/atom
- DOS(E_F): 7.87 states/eV/cell

(2)
# Hf3SiN

A geometry-optimized Hf3SiN structure (PBE, Alexandria via LeMat-Bulk).

a b c (Å): 6.7074 3.3915 7.3834
angles (deg): 90.00 97.55 90.00
Element x y z (fractional)
Hf (0.0712, 0.2500, 0.3372)
Hf (0.2859, 0.2500, 0.9457)
Hf (0.3696, 0.7500, 0.6157)
Hf (0.6304, 0.2500, 0.3843)
Hf (0.7141, 0.7500, 0.0543)
Hf (0.9288, 0.7500, 0.6628)
Si (0.3491, 0.7500, 0.2301)
Si (0.6509, 0.2500, 0.7699)
N (0.1453, 0.2500, 0.6423)
N (0.8547, 0.7500, 0.3577)

Computed properties:
- V: 166.50 Å³/cell
- Formation energy (no corrections): -0.9981 eV per atom
- Total moment: 0.00 μB/atom
- DOS(E_F): 4.06 states/eV/cell

(3)
# Ag3Hg12Au5

A geometry-optimized Ag3Hg12Au5 structure (PBE, Alexandria via LeMat-Bulk).

a b c (Å): 14.3380 14.3380 14.3380
angles (deg): 109.47 109.47 109.47
Element x y z (fractional)
Ag (0.1250, 0.2500, 0.3750)
Ag (0.1250, 0.3750, 0.7500)
Ag (0.2500, 0.3750, 0.1250)
Ag (0.2500, 0.8750, 0.6250)
Ag (0.3750, 0.1250, 0.2500)
Ag (0.3750, 0.7500, 0.1250)
Ag (0.6250, 0.2500, 0.8750)
Ag (0.6250, 0.8750, 0.7500)
Ag (0.7500, 0.1250, 0.3750)
Ag (0.7500, 0.6250, 0.8750)
Ag (0.8750, 0.6250, 0.2500)
Ag (0.8750, 0.7500, 0.6250)
Hg (0.0608, 0.2315, 0.1262)
Hg (0.0608, 0.3293, 0.9346)
Hg (0.0654, 0.6262, 0.3947)
Hg (0.0654, 0.9392, 0.6707)
Hg (0.1053, 0.7315, 0.6707)
Hg (0.1053, 0.8738, 0.4346)
Hg (0.1262, 0.0608, 0.2315)
Hg (0.1262, 0.5654, 0.8947)
Hg (0.1707, 0.2315, 0.6053)
Hg (0.1707, 0.4392, 0.5654)
Hg (0.2315, 0.1262, 0.0608)
Hg (0.2315, 0.6053, 0.1707)
Hg (0.2685, 0.3293, 0.8947)
Hg (0.2685, 0.4392, 0.3738)
Hg (0.3293, 0.8947, 0.2685)
Hg (0.3293, 0.9346, 0.0608)
Hg (0.3738, 0.2685, 0.4392)
Hg (0.3738, 0.6053, 0.9346)
Hg (0.3947, 0.0654, 0.6262)
Hg (0.3947, 0.8293, 0.7685)
Hg (0.4346, 0.1053, 0.8738)
Hg (0.4346, 0.8293, 0.5608)
Hg (0.4392, 0.3738, 0.2685)
Hg (0.4392, 0.5654, 0.1707)
Hg (0.5608, 0.4346, 0.8293)
Hg (0.5608, 0.6262, 0.7315)
Hg (0.5654, 0.1707, 0.4392)
Hg (0.5654, 0.8947, 0.1262)
Hg (0.6053, 0.1707, 0.2315)
Hg (0.6053, 0.9346, 0.3738)
Hg (0.6262, 0.3947, 0.0654)
Hg (0.6262, 0.7315, 0.5608)
Hg (0.6707, 0.0654, 0.9392)
Hg (0.6707, 0.1053, 0.7315)
Hg (0.7315, 0.5608, 0.6262)
Hg (0.7315, 0.6707, 0.1053)
Hg (0.7685, 0.3947, 0.8293)
Hg (0.7685, 0.8738, 0.9392)
Hg (0.8293, 0.5608, 0.4346)
Hg (0.8293, 0.7685, 0.3947)
Hg (0.8738, 0.4346, 0.1053)
Hg (0.8738, 0.9392, 0.7685)
Hg (0.8947, 0.1262, 0.5654)
Hg (0.8947, 0.2685, 0.3293)
Hg (0.9346, 0.0608, 0.3293)
Hg (0.9346, 0.3738, 0.6053)
Hg (0.9392, 0.6707, 0.0654)
Hg (0.9392, 0.7685, 0.8738)
Au (0.0000, 0.0000, 0.0000)
Au (0.0000, 0.0000, 0.5000)
Au (0.0000, 0.5000, 0.0000)
Au (0.0000, 0.5000, 0.5000)
Au (0.1250, 0.7500, 0.8750)
Au (0.1250, 0.8750, 0.2500)
Au (0.2500, 0.1250, 0.8750)
Au (0.2500, 0.6250, 0.3750)
Au (0.3750, 0.2500, 0.6250)
Au (0.3750, 0.6250, 0.7500)
Au (0.5000, 0.0000, 0.0000)
Au (0.5000, 0.0000, 0.5000)
Au (0.5000, 0.5000, 0.0000)
Au (0.5000, 0.5000, 0.5000)
Au (0.6250, 0.3750, 0.2500)
Au (0.6250, 0.7500, 0.3750)
Au (0.7500, 0.3750, 0.6250)
Au (0.7500, 0.8750, 0.1250)
Au (0.8750, 0.1250, 0.7500)
Au (0.8750, 0.2500, 0.1250)

Computed properties:
- V: 2269.07 Å³/cell
- Formation energy from the elements: 0.164 eV/atom
- Total moment: 0.00 μB/atom
- DOS(E_F): 23.15 states/eV/cell

(4)
# RbCoIN2

A geometry-optimized RbCoIN2 structure (PBE, Alexandria via LeMat-Bulk).

a b c (Å): 4.2722 4.2722 5.4707
angles (deg): 90.00 90.00 90.00
Element x y z (fractional)
Rb (0.0000, 0.0000, 0.0000)
Co (0.5000, 0.5000, 0.5000)
I (0.5000, 0.5000, 0.0000)
N (0.0000, 0.5000, 0.5000)
N (0.5000, 0.0000, 0.5000)

Computed properties:
- V: 99.85 Å³/cell
- Formation energy (no corrections): 1.2794 eV per atom
- Total moment: 0.19 μB/atom
- DOS(E_F): 6.40 states/eV/cell
- Energy above the lowest structure with this stoichiometry: 0.000 eV per atom

(5)
# Ca2FeH6

A geometry-optimized Ca2FeH6 structure (PBE, Alexandria via LeMat-Bulk).

a b c (Å): 4.9434 4.9434 4.9434
angles (deg): 60.00 60.00 60.00
Element x y z (fractional)
Ca (0.2500, 0.2500, 0.2500)
Ca (0.7500, 0.7500, 0.7500)
Fe (0.0000, 0.0000, 0.0000)
H (0.2289, 0.2289, 0.7711)
H (0.2289, 0.7711, 0.2289)
H (0.2289, 0.7711, 0.7711)
H (0.7711, 0.2289, 0.2289)
H (0.7711, 0.2289, 0.7711)
H (0.7711, 0.7711, 0.2289)

Computed properties:
- V: 85.42 Å³/cell
- Total moment: 0.01 μB/atom
- Total energy: -4.174 eV per atom

(6)
# Pd8Pb2Au

A geometry-optimized Pd8Pb2Au structure (PBE, Alexandria via LeMat-Bulk).

a b c (Å): 7.6128 7.6128 6.5707
angles (deg): 108.38 108.38 31.75
Element x y z (fractional)
Pd (0.0360, 0.0360, 0.2292)
Pd (0.1424, 0.1424, 0.6955)
Pd (0.3273, 0.3273, 0.5891)
Pd (0.4100, 0.4100, 0.0455)
Pd (0.5900, 0.5900, 0.9545)
Pd (0.6727, 0.6727, 0.4109)
Pd (0.8576, 0.8576, 0.3045)
Pd (0.9640, 0.9640, 0.7708)
Pb (0.2151, 0.2151, 0.1646)
Pb (0.7849, 0.7849, 0.8354)
Au (0.5000, 0.5000, 0.5000)

Computed properties:
- V: 189.30 Å³/cell
- Formation energy from the elements: -0.160 eV/atom
- Total moment: 0.00 μB/atom
- DOS(E_F): 6.22 states/eV/cell
- Energy above the lowest structure with this stoichiometry: 0.013 eV per atom

(7)
# Sc2CuIrC

A geometry-optimized Sc2CuIrC structure (PBE, Alexandria via LeMat-Bulk).

a b c (Å): 4.5502 4.5502 3.8488
angles (deg): 90.00 90.00 90.00
Element x y z (fractional)
Sc (0.0000, 0.5000, 0.0000)
Sc (0.5000, 0.0000, 0.0000)
Cu (0.0000, 0.0000, 0.5000)
Ir (0.5000, 0.5000, 0.5000)
C (0.5000, 0.5000, 0.0000)

Computed properties:
- V: 79.69 Å³/cell
- Formation energy from the elements: -0.471 eV/atom
- Total moment: 0.00 μB/atom
- DOS(E_F): 1.53 states/eV/cell

(8)
# TlI

A geometry-optimized TlI structure (PBE, Alexandria via LeMat-Bulk).

a b c (Å): 9.3928 9.3928 9.3928
angles (deg): 109.47 109.47 109.47
Element x y z (fractional)
Tl (0.0000, 0.0000, 0.3020)
Tl (0.0000, 0.3020, 0.0000)
Tl (0.3020, 0.0000, 0.0000)
Tl (0.6980, 0.6980, 0.6980)
I (0.0000, 0.0000, 0.6786)
I (0.0000, 0.6786, 0.0000)
I (0.3214, 0.3214, 0.3214)
I (0.6786, 0.0000, 0.0000)

Computed properties:
- V: 637.92 Å³/cell
- Formation energy (no corrections): -0.5760 eV per atom
- Total moment: 0.00 μB/atom
- DOS(E_F): 0.00 states/eV/cell
- Energy above the lowest structure with this stoichiometry: 0.090 eV per atom

(9)
# Co2Ir4Rh3

A geometry-optimized Co2Ir4Rh3 structure (PBE, Alexandria via LeMat-Bulk).

a b c (Å): 7.1654 7.1654 7.2051
angles (deg): 114.73 114.73 21.82
Element x y z (fractional)
Co (0.1705, 0.1705, 0.0036)
Co (0.8295, 0.8295, 0.9964)
Ir (0.0196, 0.0196, 0.3337)
Ir (0.3155, 0.3155, 0.6702)
Ir (0.6845, 0.6845, 0.3298)
Ir (0.9804, 0.9804, 0.6663)
Rh (0.3499, 0.3499, 0.3203)
Rh (0.5000, 0.5000, 0.0000)
Rh (0.6501, 0.6501, 0.6797)

Computed properties:
- V: 124.38 Å³/cell
- Formation energy from the elements: 0.048 eV/atom
- Total moment: 0.52 μB/atom
- DOS(E_F): 12.46 states/eV/cell
- Energy above the lowest structure with this stoichiometry: 0.000 eV per atom

(10)
# CsVTe2

A geometry-optimized CsVTe2 structure (PBE, Alexandria via LeMat-Bulk).

a b c (Å): 3.4963 3.4963 9.0782
angles (deg): 90.00 90.00 90.00
Element x y z (fractional)
Cs (0.0000, 0.0000, 0.0000)
V (0.0000, 0.0000, 0.5000)
Te (0.5000, 0.5000, 0.3244)
Te (0.5000, 0.5000, 0.6756)

Computed properties:
- V: 110.97 Å³/cell
- Formation energy (no corrections): -0.2216 eV per atom
- Total moment: 0.00 μB/atom
- DOS(E_F): 1.81 states/eV/cell

(11)
# Pu2HfZn6

A geometry-optimized Pu2HfZn6 structure (PBE, Alexandria via LeMat-Bulk).

a b c (Å): 8.0015 8.0015 2.9705
angles (deg): 90.00 90.00 120.00
Element x y z (fractional)
Pu (0.3333, 0.6667, 0.0000)
Pu (0.6667, 0.3333, 0.0000)
Hf (0.0000, 0.0000, 0.0000)
Zn (0.0000, 0.3231, 0.5000)
Zn (0.0000, 0.6769, 0.5000)
Zn (0.3231, 0.0000, 0.5000)
Zn (0.3231, 0.3231, 0.5000)
Zn (0.6769, 0.0000, 0.5000)
Zn (0.6769, 0.6769, 0.5000)

Computed properties:
- V: 164.71 Å³/cell
- Formation energy from the elements: -0.177 eV/atom
- Total moment: 1.21 μB/atom
- DOS(E_F): 13.71 states/eV/cell

(12)
# Hg2HPd4

A geometry-optimized Hg2HPd4 structure (PBE, Alexandria via LeMat-Bulk).

a b c (Å): 7.7545 5.6842 9.9339
angles (deg): 90.00 90.00 90.00
Element x y z (fractional)
Hg (0.0133, 0.2500, 0.1388)
Hg (0.1510, 0.7500, 0.4036)
Hg (0.3490, 0.2500, 0.9036)
Hg (0.4867, 0.7500, 0.6388)
Hg (0.5133, 0.2500, 0.3612)
Hg (0.6510, 0.7500, 0.0964)
Hg (0.8490, 0.2500, 0.5964)
Hg (0.9867, 0.7500, 0.8612)
H (0.2318, 0.7500, 0.0684)
H (0.2682, 0.2500, 0.5684)
H (0.7318, 0.7500, 0.4316)
H (0.7682, 0.2500, 0.9316)
Pd (0.0113, 0.7500, 0.1379)
Pd (0.1541, 0.2500, 0.4026)
Pd (0.1700, 0.5024, 0.6589)
Pd (0.1700, 0.9976, 0.6589)
Pd (0.3300, 0.0024, 0.1589)
Pd (0.3300, 0.4976, 0.1589)
Pd (0.3459, 0.7500, 0.9026)
Pd (0.4887, 0.2500, 0.6379)
Pd (0.5113, 0.7500, 0.3621)
Pd (0.6541, 0.2500, 0.0974)
Pd (0.6700, 0.5024, 0.8411)
Pd (0.6700, 0.9976, 0.8411)
Pd (0.8300, 0.0024, 0.3411)
Pd (0.8300, 0.4976, 0.3411)
Pd (0.8459, 0.7500, 0.5974)
Pd (0.9887, 0.2500, 0.8621)

Computed properties:
- V: 437.87 Å³/cell
- Total moment: 0.00 μB/atom
- DOS(E_F): 6.34 states/eV/cell
- Energy above the lowest structure with this stoichiometry: 0.000 eV per atom

(13)
# Cs2SbAuSe4

A geometry-optimized Cs2SbAuSe4 structure (PBE, Alexandria via LeMat-Bulk).

a b c (Å): 14.7386 13.2777 7.9611
angles (deg): 83.90 63.61 32.49
Element x y z (fractional)
Cs (0.0550, 0.0550, 0.6950)
Cs (0.3050, 0.3050, 0.9450)
Cs (0.6950, 0.6950, 0.0550)
Cs (0.9450, 0.9450, 0.3050)
Sb (0.3750, 0.3750, 0.3750)
Sb (0.6250, 0.6250, 0.6250)
Au (0.1250, 0.1250, 0.1250)
Au (0.8750, 0.8750, 0.8750)
Se (0.0054, 0.3533, 0.4475)
Se (0.3062, 0.5525, 0.6467)
Se (0.3533, 0.0054, 0.6938)
Se (0.4475, 0.6938, 0.0054)
Se (0.5525, 0.3062, 0.9946)
Se (0.6467, 0.9946, 0.3062)
Se (0.6938, 0.4475, 0.3533)
Se (0.9946, 0.6467, 0.5525)

Computed properties:
- V: 621.75 Å³/cell
- Formation energy (no corrections): -0.5490 eV per atom
- Total moment: 0.00 μB/atom

(14)
# AcBeAg2O4

A geometry-optimized AcBeAg2O4 structure (PBE, Alexandria via LeMat-Bulk).

a b c (Å): 5.1808 5.1808 5.1808
angles (deg): 111.48 111.48 105.53
Element x y z (fractional)
Ac (0.0000, 0.0000, 0.0000)
Be (0.5000, 0.5000, 0.0000)
Ag (0.2500, 0.7500, 0.5000)
Ag (0.7500, 0.2500, 0.5000)
O (0.1800, 0.5153, 0.0000)
O (0.4847, 0.4847, 0.6647)
O (0.5153, 0.1800, 0.0000)
O (0.8200, 0.8200, 0.3353)

Computed properties:
- V: 106.67 Å³/cell
- Formation energy (no corrections): -1.6335 eV per atom
- Total moment: 0.00 μB/atom
- DOS(E_F): 3.46 states/eV/cell

(15)
# CePr2Mg

A geometry-optimized CePr2Mg structure (PBE, Alexandria via LeMat-Bulk).

a b c (Å): 12.6344 12.6344 12.6344
angles (deg): 15.41 15.41 15.41
Element x y z (fractional)
Ce (0.0000, 0.0000, 0.0000)
Pr (0.0884, 0.0884, 0.0884)
Pr (0.9116, 0.9116, 0.9116)
Mg (0.5000, 0.5000, 0.5000)

Computed properties:
- V: 124.07 Å³/cell
- Formation energy from the elements: 0.210 eV/atom
- Total moment: 0.14 μB/atom
- DOS(E_F): 6.71 states/eV/cell
- Energy above the lowest structure with this stoichiometry: 0.212 eV per atom

(16)
# VGaTe2

A geometry-optimized VGaTe2 structure (PBE, Alexandria via LeMat-Bulk).

a b c (Å): 7.8265 7.8265 7.8265
angles (deg): 131.79 131.79 70.56
Element x y z (fractional)
V (0.0000, 0.0000, 0.0000)
V (0.7500, 0.2500, 0.5000)
Ga (0.2500, 0.7500, 0.5000)
Ga (0.5000, 0.5000, 0.0000)
Te (0.0948, 0.6250, 0.9698)
Te (0.3750, 0.3448, 0.4698)
Te (0.6552, 0.1250, 0.0302)
Te (0.8750, 0.9052, 0.5302)

Computed properties:
- V: 261.10 Å³/cell
- Formation energy (no corrections): -0.0332 eV per atom
- Total moment: 0.60 μB/atom
- DOS(E_F): 4.60 states/eV/cell

(17)
# ZnInPb2

A geometry-optimized ZnInPb2 structure (PBE, Alexandria via LeMat-Bulk).

a b c (Å): 5.8226 5.8226 5.8226
angles (deg): 131.45 131.45 71.10
Element x y z (fractional)
Zn (0.0000, 0.0000, 0.0000)
In (0.5000, 0.5000, 0.0000)
Pb (0.2500, 0.7500, 0.5000)
Pb (0.7500, 0.2500, 0.5000)

Computed properties:
- V: 108.58 Å³/cell
- Formation energy from the elements: 0.122 eV/atom
- Total moment: 0.00 μB/atom
- DOS(E_F): 1.27 states/eV/cell